Record 1
VASP calculation (meta-GGA SCAN) on a PBEsol-optimized structure of Sr3HfSb.

Cell lengths 5.767, 5.767, 5.767 Å; angles 90.00, 90.00, 90.00 degrees
Each line ends with the local moment (μB).
Fractional positions:
Hf: 0.000 0.000 0.000  0.55
Sr: 0.000 0.500 0.000  0.06
Sr: 0.500 0.000 0.000  0.06
Sr: 0.000 0.000 0.500  0.06
Sb: 0.500 0.500 0.500  0.00

Computed properties:
total magnetization: 1.10 μB/cell
ΔE_f (raw): 0.78 eV per atom
DFT total energy: -162.8 eV for the cell shown
Fermi-level density of states: 6.11 states/eV per cell

Record 2
VASP calculation (meta-GGA SCAN) on a PBEsol-optimized structure of HfTcSb2Te.

Cell lengths 5.362, 5.416, 5.416 Å; angles 90.00, 90.00, 90.00 degrees
Each line ends with the local moment (μB).
Fractional positions:
Tc: 0.500 0.500 0.500  4.20
Sb: 0.000 0.500 0.000  -0.08
Te: 0.500 0.000 0.000  -0.10
Sb: 0.000 0.000 0.500  -0.08
Hf: 0.000 0.000 0.000  0.10

Computed properties:
total magnetization: 4.43 μB/cell
ΔE_f (raw): 0.96 eV per atom
DFT total energy: -204.7 eV for the cell shown
Fermi-level density of states: 3.72 states/eV per cell